[1]
Ac2NdDySe4, relaxed, DFT PBE; crystal system = monoclinic; density = 7.90 Mg/m³; spin magnetization = 0.00 μB per cell; formation energy from raw total energies = -1.819 eV/atom
1.0
4.212 0.000 0.000
0.000 7.353 0.141
0.000 -2.561 7.258
Ac Nd Dy Se
2 1 1 4
Direct
0.500 0.000 0.500
0.000 0.500 0.500
0.500 0.500 0.000
0.000 0.000 0.000
0.500 0.234 0.224
0.500 0.766 0.776
0.000 0.250 0.771
0.000 0.750 0.229


[2]
AcNd3Dy2Se6, relaxed, DFT PBE; crystal system = monoclinic; density = 7.59 Mg/m³; spin magnetization = 0.00 μB per cell; formation energy from raw total energies = -1.799 eV/atom
1.0
7.317 -0.011 -0.005
-3.667 6.332 -0.005
-1.223 -2.117 6.900
Ac Nd Dy Se
1 3 2 6
Direct
0.000 0.000 0.000
0.157 0.843 0.500
0.843 0.157 0.500
0.500 0.500 0.500
0.333 0.667 0.000
0.667 0.333 0.000
0.918 0.567 0.752
0.728 0.728 0.238
0.082 0.433 0.248
0.567 0.918 0.752
0.272 0.272 0.762
0.433 0.082 0.248


[3]
Ac3Nd2DySe6, relaxed, DFT PBE; crystal system = monoclinic; density = 7.79 Mg/m³; spin magnetization = 0.00 μB per cell; formation energy from raw total energies = -1.832 eV/atom
1.0
7.430 -0.012 -0.003
-3.723 6.430 -0.003
-1.239 -2.146 7.174
Ac Nd Dy Se
3 2 1 6
Direct
0.171 0.829 0.500
0.829 0.171 0.500
0.500 0.500 0.500
0.333 0.667 0.000
0.667 0.333 0.000
0.000 0.000 0.000
0.924 0.600 0.772
0.753 0.753 0.233
0.076 0.400 0.228
0.600 0.924 0.772
0.247 0.247 0.767
0.400 0.076 0.228


[4]
Ac2NdDySe6, relaxed, DFT PBE; crystal system = trigonal; density = 6.15 Mg/m³; spin magnetization = 0.00 μB per cell; formation energy from raw total energies = -1.916 eV/atom
1.0
7.638 0.000 0.000
3.819 6.614 0.000
3.819 2.205 6.596
Ac Nd Dy Se
2 1 1 6
Direct
0.525 0.525 0.426
0.026 0.026 0.922
0.316 0.316 0.053
0.817 0.817 0.548
0.607 0.186 0.264
0.186 0.943 0.264
0.943 0.607 0.264
0.453 0.692 0.758
0.692 0.096 0.758
0.096 0.453 0.758


[5]
AcNdDySe3, relaxed, DFT PBE; crystal system = monoclinic; density = 7.15 Mg/m³; spin magnetization = 1.32 μB per cell; formation energy from raw total energies = -1.672 eV/atom
1.0
-1.062 -1.371 3.828
7.930 -1.280 1.742
-1.708 10.062 3.129
Ac Nd Dy Se
2 2 2 6
Direct
0.250 0.184 0.208
0.750 0.816 0.792
0.250 0.174 0.623
0.750 0.826 0.377
0.250 0.662 0.095
0.750 0.338 0.905
0.750 0.899 0.107
0.250 0.101 0.893
0.250 0.796 0.566
0.750 0.204 0.434
0.750 0.474 0.183
0.250 0.526 0.817


[6]
AcNd6Sm2Dy, relaxed, DFT PBE; energy of formation = 0.116 eV per atom; crystal system = monoclinic; density = 7.19 Mg/m³; spin magnetization = 0.00 μB per cell
1.0
9.346 -2.140 -2.221
0.983 8.820 -2.123
0.983 -2.448 8.735
Ac Nd Sm Dy
2 12 4 2
Direct
0.250 0.976 0.024
0.750 0.024 0.976
0.054 0.127 0.751
0.446 0.249 0.873
0.946 0.873 0.249
0.554 0.751 0.127
0.313 0.986 0.439
0.187 0.561 0.014
0.687 0.014 0.561
0.813 0.439 0.986
0.118 0.709 0.497
0.382 0.503 0.291
0.882 0.291 0.503
0.618 0.497 0.709
0.454 0.799 0.687
0.046 0.313 0.201
0.546 0.201 0.313
0.954 0.687 0.799
0.250 0.411 0.589
0.750 0.589 0.411


[7]
AcNd3Sm6Dy2, relaxed, DFT PBE; energy of formation = 0.024 eV per atom; crystal system = monoclinic; density = 7.55 Mg/m³; spin magnetization = 0.00 μB per cell
1.0
-3.836 4.926 -1.039
-2.444 -5.734 1.097
1.904 2.596 11.715
Ac Nd Sm Dy
1 3 6 2
Direct
0.000 0.000 0.000
0.167 0.833 0.500
0.833 0.167 0.500
0.500 0.500 0.500
0.916 0.580 0.749
0.747 0.747 0.251
0.084 0.420 0.251
0.580 0.916 0.749
0.253 0.253 0.749
0.420 0.084 0.251
0.333 0.667 0.000
0.667 0.333 0.000


[8]
AcNd3SmDy, relaxed, DFT PBE; energy of formation = 0.215 eV per atom; crystal system = monoclinic; density = 7.37 Mg/m³; spin magnetization = 0.00 μB per cell
1.0
5.892 0.000 0.000
-2.946 10.321 1.638
0.000 -1.241 7.014
Ac Nd Sm Dy
2 6 2 2
Direct
0.353 0.705 0.961
0.647 0.295 0.039
0.842 0.683 0.251
0.781 0.561 0.725
0.483 0.965 0.256
0.219 0.439 0.275
0.517 0.035 0.744
0.158 0.317 0.749
0.642 0.284 0.492
0.358 0.716 0.508
0.057 0.115 0.292
0.943 0.885 0.708


[9]
AcNdSm6Dy2, relaxed, DFT PBE; energy of formation = 0.124 eV per atom; crystal system = monoclinic; density = 7.57 Mg/m³; spin magnetization = 0.00 μB per cell
1.0
-7.610 0.499 -6.104
5.939 2.144 -6.453
-1.342 -8.759 1.733
Ac Nd Sm Dy
2 2 12 4
Direct
0.250 0.970 0.030
0.750 0.030 0.970
0.250 0.409 0.591
0.750 0.591 0.409
0.056 0.120 0.749
0.444 0.251 0.880
0.944 0.880 0.251
0.556 0.749 0.120
0.320 0.982 0.444
0.180 0.556 0.018
0.680 0.018 0.556
0.820 0.444 0.982
0.119 0.708 0.491
0.381 0.509 0.292
0.881 0.292 0.509
0.619 0.491 0.708
0.453 0.801 0.691
0.047 0.309 0.199
0.547 0.199 0.309
0.953 0.691 0.801


[10]
AcNdSmDy, relaxed, DFT PBE; energy of formation = 0.048 eV per atom; distance to the lowest polymorph of the same formula = 0 meV per atom; crystal system = orthorhombic; density = 7.83 Mg/m³; spin magnetization = 0.00 μB per cell
1.0
-1.978 -0.842 -4.787
1.369 -5.066 0.326
-4.368 1.828 4.360
Ac Nd Sm Dy
1 1 1 1
Direct
0.446 0.446 0.891
0.196 0.696 0.392
0.695 0.195 0.391
0.946 0.946 0.891


[11]
Ac2NdSmDy, relaxed, DFT PBE; energy of formation = 0.256 eV per atom; crystal system = orthorhombic; density = 7.69 Mg/m³; spin magnetization = 0.00 μB per cell
1.0
6.819 0.000 0.000
0.000 8.753 1.579
0.000 -1.156 6.382
Ac Nd Sm Dy
4 2 2 2
Direct
0.709 0.705 0.751
0.709 0.295 0.749
0.291 0.705 0.251
0.291 0.295 0.249
0.585 0.000 0.250
0.415 0.000 0.750
0.180 0.500 0.750
0.820 0.500 0.250
0.000 0.000 0.000
0.000 0.000 0.500


[12]
AcNd2Sm6Dy, relaxed, DFT PBE; energy of formation = 0.120 eV per atom; crystal system = monoclinic; density = 7.42 Mg/m³; spin magnetization = 0.00 μB per cell
1.0
-6.844 -3.988 -5.716
-3.831 -3.169 7.615
-2.031 8.458 -2.654
Ac Nd Sm Dy
2 4 12 2
Direct
0.250 0.976 0.024
0.750 0.024 0.976
0.454 0.802 0.685
0.046 0.315 0.198
0.546 0.198 0.315
0.954 0.685 0.802
0.056 0.132 0.748
0.444 0.252 0.868
0.944 0.868 0.252
0.556 0.748 0.132
0.312 0.983 0.436
0.188 0.564 0.017
0.688 0.017 0.564
0.812 0.436 0.983
0.117 0.711 0.498
0.383 0.502 0.289
0.883 0.289 0.502
0.617 0.498 0.711
0.250 0.411 0.589
0.750 0.589 0.411